No. 1
First-principles (PBE) data for a geometry-optimized CeTm3C structure, as listed in Alexandria via LeMat-Bulk.

Results
- Density of states at the Fermi level: 11.7 states/eV/f.u.
- Total moment: 1.76 μB/f.u.
- Symmetry: Pm-3m
- DFT formation energy: 1.049 kcal/mol of atoms
- Final energy: -5.67 eV/atom

a b c (Å): 4.969 4.969 4.969
angles (deg): 90.00 90.00 90.00
Positions (direct):
Ce (0.000, 0.000, 0.000)
Tm (0.000, 0.500, 0.500)
Tm (0.500, 0.000, 0.500)
Tm (0.500, 0.500, 0.000)
C (0.500, 0.500, 0.500)

No. 2
First-principles (PBE) data for a geometry-optimized SiNi2Au structure, as listed in Alexandria via LeMat-Bulk.

Results
- Formation energy without anion corrections: -0.307 eV/atom
- Density of states at the Fermi level: 1.4 states/eV/f.u.
- Total moment: 0.00 μB/f.u.
- Symmetry: Pmmm
- Final energy: -5.37 eV/atom

a b c (Å): 2.785 2.818 6.523
angles (deg): 90.00 90.00 90.00
Positions (direct):
Si (0.000, 0.000, 0.000)
Ni (0.500, 0.500, 0.200)
Ni (0.500, 0.500, 0.800)
Au (0.000, 0.000, 0.500)

No. 3
First-principles (PBE) data for a geometry-optimized Ac2SmRh structure, as listed in Alexandria via LeMat-Bulk.

Results
- Density of states at the Fermi level: 5.7 states/eV/f.u.
- Total moment: 0.00 μB/f.u.
- Symmetry: R-3m
- DFT formation energy: 7.080 kcal/mol of atoms
- Final energy: -4.76 eV/atom

a b c (Å): 3.771 3.771 34.395
angles (deg): 90.00 90.00 120.00
Positions (direct):
Ac (0.000, 0.000, 0.076)
Ac (0.000, 0.000, 0.924)
Ac (0.333, 0.667, 0.590)
Ac (0.333, 0.667, 0.743)
Ac (0.667, 0.333, 0.257)
Ac (0.667, 0.333, 0.410)
Sm (0.000, 0.000, 0.500)
Sm (0.333, 0.667, 0.167)
Sm (0.667, 0.333, 0.833)
Rh (0.000, 0.000, 0.000)
Rh (0.333, 0.667, 0.667)
Rh (0.667, 0.333, 0.333)

No. 4
First-principles (PBE) data for a geometry-optimized Pr3MnAlS7 structure, as listed in Alexandria via LeMat-Bulk.

Results
- Formation energy without anion corrections: -1.632 eV/atom
- Total moment: 5.00 μB/f.u.
- Symmetry: P6_3
- Final energy: -6.31 eV/atom

a b c (Å): 10.068 10.068 6.215
angles (deg): 90.00 90.00 120.00
Positions (direct):
Pr (0.148, 0.377, 0.000)
Pr (0.229, 0.852, 0.000)
Pr (0.377, 0.229, 0.500)
Pr (0.623, 0.771, 0.000)
Pr (0.771, 0.148, 0.500)
Pr (0.852, 0.623, 0.500)
Mn (0.000, 0.000, 0.295)
Mn (0.000, 0.000, 0.795)
Al (0.333, 0.667, 0.421)
Al (0.667, 0.333, 0.921)
S (0.096, 0.237, 0.569)
S (0.098, 0.577, 0.274)
S (0.142, 0.904, 0.569)
S (0.237, 0.142, 0.069)
S (0.333, 0.667, 0.782)
S (0.423, 0.521, 0.274)
S (0.479, 0.902, 0.274)
S (0.521, 0.098, 0.774)
S (0.577, 0.479, 0.774)
S (0.667, 0.333, 0.282)
S (0.763, 0.858, 0.569)
S (0.858, 0.096, 0.069)
S (0.902, 0.423, 0.774)
S (0.904, 0.763, 0.069)

No. 5
First-principles (PBE) data for a geometry-optimized Pr7HoMg4 structure, as listed in Alexandria via LeMat-Bulk.

Results
- Density of states at the Fermi level: 13.9 states/eV/f.u.
- Total moment: 0.00 μB/f.u.
- Symmetry: C2/m
- DFT formation energy: 2.702 kcal/mol of atoms
- Final energy: -3.58 eV/atom

a b c (Å): 8.321 8.321 9.896
angles (deg): 118.90 118.90 41.58
Positions (direct):
Pr (0.000, 0.000, 0.000)
Pr (0.247, 0.247, 0.713)
Pr (0.304, 0.304, 0.121)
Pr (0.417, 0.417, 0.573)
Pr (0.583, 0.583, 0.427)
Pr (0.696, 0.696, 0.879)
Pr (0.753, 0.753, 0.287)
Ho (0.500, 0.500, 0.000)
Mg (0.038, 0.038, 0.693)
Mg (0.174, 0.174, 0.345)
Mg (0.826, 0.826, 0.655)
Mg (0.962, 0.962, 0.307)

No. 6
First-principles (PBE) data for a geometry-optimized TaAlO4 structure, as listed in Alexandria via LeMat-Bulk.

Results
- Formation energy without anion corrections: -2.882 eV/atom
- Density of states at the Fermi level: 0.0 states/eV/f.u.
- Total moment: 0.00 μB/f.u.
- Symmetry: I4_1md
- Final energy: -8.79 eV/atom

a b c (Å): 5.499 5.499 5.499
angles (deg): 107.09 107.09 114.35
Positions (direct):
Ta (0.000, 0.000, 0.000)
Ta (0.750, 0.250, 0.500)
Al (0.240, 0.740, 0.500)
Al (0.490, 0.490, 0.000)
O (0.190, 0.490, 0.700)
O (0.240, 0.041, 0.800)
O (0.240, 0.440, 0.200)
O (0.284, 0.977, 0.306)
O (0.671, 0.977, 0.694)
O (0.727, 0.534, 0.806)
O (0.727, 0.921, 0.194)
O (0.791, 0.490, 0.300)

No. 7
First-principles (PBE) data for a geometry-optimized CaAlPb2 structure, as listed in Alexandria via LeMat-Bulk.

Results
- Density of states at the Fermi level: 1.8 states/eV/f.u.
- Total moment: 0.00 μB/f.u.
- Symmetry: P2/m
- DFT formation energy: -2.095 kcal/mol of atoms
- Final energy: -3.38 eV/atom

a b c (Å): 3.494 5.213 6.164
angles (deg): 90.00 92.69 90.00
Positions (direct):
Ca (0.000, 0.000, 0.000)
Al (0.500, 0.000, 0.500)
Pb (0.366, 0.500, 0.743)
Pb (0.634, 0.500, 0.257)

No. 8
First-principles (PBE) data for a geometry-optimized CoBi3H structure, as listed in Alexandria via LeMat-Bulk.

Results
- Density of states at the Fermi level: 5.4 states/eV/f.u.
- Total moment: 0.00 μB/f.u.
- Symmetry: Pm-3m
- Final energy: -3.68 eV/atom

a b c (Å): 5.090 5.090 5.090
angles (deg): 90.00 90.00 90.00
Positions (direct):
Co (0.000, 0.000, 0.000)
Bi (0.000, 0.000, 0.500)
Bi (0.000, 0.500, 0.000)
Bi (0.500, 0.000, 0.000)
H (0.500, 0.500, 0.500)

No. 9
First-principles (PBE) data for a geometry-optimized Cs2InCl4 structure, as listed in Alexandria via LeMat-Bulk.

Results
- Formation energy without anion corrections: -1.494 eV/atom
- Density of states at the Fermi level: 1.6 states/eV/f.u.
- Total moment: 0.96 μB/f.u.
- Symmetry: Fmm2
- Final energy: -3.18 eV/atom

a b c (Å): 8.388 7.011 8.400
angles (deg): 65.23 49.37 65.41
Positions (direct):
Cs (0.000, 0.000, 0.500)
Cs (0.500, 0.500, 0.000)
In (0.214, 0.214, 0.786)
Cl (0.053, 0.454, 0.546)
Cl (0.254, 0.855, 0.746)
Cl (0.454, 0.053, 0.947)
Cl (0.855, 0.254, 0.145)

No. 10
First-principles (PBE) data for a geometry-optimized Tl3PdF4 structure, as listed in Alexandria via LeMat-Bulk.

Results
- Formation energy without anion corrections: -1.434 eV/atom
- Total moment: 0.99 μB/f.u.
- Symmetry: Pmn2_1
- Final energy: -3.91 eV/atom

a b c (Å): 8.474 7.995 5.152
angles (deg): 90.00 90.00 90.00
Positions (direct):
Tl (0.000, 0.015, 0.000)
Tl (0.236, 0.334, 0.500)
Tl (0.264, 0.666, 0.000)
Tl (0.500, 0.985, 0.500)
Tl (0.736, 0.666, 0.000)
Tl (0.764, 0.334, 0.500)
Pd (0.000, 0.813, 0.500)
Pd (0.500, 0.187, 0.000)
F (0.000, 0.124, 0.499)
F (0.000, 0.534, 0.503)
F (0.243, 0.202, 0.999)
F (0.257, 0.798, 0.499)
F (0.500, 0.466, 0.003)
F (0.500, 0.876, 0.999)
F (0.743, 0.798, 0.499)
F (0.757, 0.202, 0.999)

No. 11
First-principles (PBE) data for a geometry-optimized Ag2Bi2Pb structure, as listed in Alexandria via LeMat-Bulk.

Results
- Density of states at the Fermi level: 2.2 states/eV/f.u.
- Total moment: 0.00 μB/f.u.
- Symmetry: I4/mmm
- DFT formation energy: 2.397 kcal/mol of atoms
- Final energy: -3.33 eV/atom

a b c (Å): 3.996 3.996 17.253
angles (deg): 90.00 90.00 90.00
Positions (direct):
Ag (0.000, 0.500, 0.250)
Ag (0.000, 0.500, 0.750)
Ag (0.500, 0.000, 0.250)
Ag (0.500, 0.000, 0.750)
Bi (0.000, 0.000, 0.115)
Bi (0.000, 0.000, 0.885)
Bi (0.500, 0.500, 0.385)
Bi (0.500, 0.500, 0.615)
Pb (0.000, 0.000, 0.500)
Pb (0.500, 0.500, 0.000)

No. 12
First-principles (PBE) data for a geometry-optimized La2ZrZn structure, as listed in Alexandria via LeMat-Bulk.

Results
- Density of states at the Fermi level: 4.4 states/eV/f.u.
- Total moment: 0.00 μB/f.u.
- Symmetry: P4mm
- DFT formation energy: -1.611 kcal/mol of atoms
- Final energy: -4.99 eV/atom

a b c (Å): 3.547 3.547 8.597
angles (deg): 90.00 90.00 90.00
Positions (direct):
La (0.000, 0.000, 0.000)
La (0.500, 0.500, 0.319)
Zr (0.500, 0.500, 0.731)
Zn (0.000, 0.000, 0.564)

Question: final energy of number 8 (CoBi3H)?
Answer: -3.68 eV/atom

Question: What is the total moment in the seventh record?
Answer: 0.00 μB/f.u.